Record 1
Pm4Te5Se after structural relaxation. Source: Alexandria, functional PBE.

Lattice parameters (Å, degrees): 9.923 9.923 8.864 103.88 103.88 25.68
Fractional coordinates of all 10 atoms:
Pm 0.003 0.003 0.250
Pm 0.330 0.330 0.901
Pm 0.670 0.670 0.099
Pm 0.997 0.997 0.750
Te 0.164 0.164 0.338
Te 0.164 0.164 0.838
Te 0.500 0.500 0.500
Te 0.836 0.836 0.162
Te 0.836 0.836 0.662
Se 0.500 0.500 0.000

## Properties
total DFT energy (no corrections): -52.436 eV for the cell shown
M_tot: 0.0 μB per cell
formation energy (no corrections): -1424 meV per atom

***

Record 2
Ba2YThAs4 after structural relaxation. Source: Alexandria, functional PBE.

Lattice parameters (Å, degrees): 7.580 4.415 7.945 90.00 108.74 90.00
Fractional coordinates of all 8 atoms:
Ba 0.000 0.000 0.000
Ba 0.500 0.500 0.000
Y 0.000 0.500 0.500
Th 0.500 0.000 0.500
As 0.235 0.000 0.711
As 0.261 0.500 0.288
As 0.739 0.500 0.712
As 0.765 0.000 0.289

## Properties
total DFT energy (no corrections): -46.165 eV for the cell shown
formation enthalpy at 0 K: -1.2296 eV/atom
M_tot: 0.0 μB per cell

***

Record 3
Th3Tl3Te8Pb after structural relaxation. Source: Alexandria, functional PBE.

Lattice parameters (Å, degrees): 9.709 9.709 9.709 55.87 55.87 55.87
Fractional coordinates of all 15 atoms:
Th 0.000 0.500 0.500
Th 0.500 0.000 0.500
Th 0.500 0.500 0.000
Tl 0.000 0.000 0.500
Tl 0.000 0.500 0.000
Tl 0.500 0.000 0.000
Te 0.248 0.248 0.726
Te 0.248 0.726 0.248
Te 0.259 0.259 0.259
Te 0.274 0.752 0.752
Te 0.726 0.248 0.248
Te 0.741 0.741 0.741
Te 0.752 0.274 0.752
Te 0.752 0.752 0.274
Pb 0.000 0.000 0.000

## Properties
total DFT energy (no corrections): -70.419 eV for the cell shown
M_tot: 0.8 μB per cell
formation energy (no corrections): -815 meV per atom

***

Record 4
Li2ZrSb after structural relaxation. Source: Alexandria, functional PBE.

Lattice parameters (Å, degrees): 5.144 5.144 5.144 130.05 130.05 73.32
Fractional coordinates of all 4 atoms:
Li 0.000 0.000 0.000
Li 0.750 0.250 0.500
Zr 0.500 0.500 0.000
Sb 0.250 0.750 0.500

## Properties
total DFT energy (no corrections): -17.366 eV for the cell shown
M_tot: 0.7 μB per cell
formation energy (no corrections): -217 meV per atom

***

Record 5
SrMg2Cu after structural relaxation. Source: Alexandria, functional PBE.

Lattice parameters (Å, degrees): 6.618 6.618 6.618 40.43 40.43 40.43
Fractional coordinates of all 4 atoms:
Sr 0.000 0.000 0.000
Mg 0.203 0.203 0.203
Mg 0.797 0.797 0.797
Cu 0.500 0.500 0.500

## Properties
total DFT energy (no corrections): -8.900 eV for the cell shown
formation enthalpy at 0 K: 0.0169 eV/atom
M_tot: 0.0 μB per cell

***

Record 6
GdZrHgPt after structural relaxation. Source: Alexandria, functional PBE.

Lattice parameters (Å, degrees): 5.003 5.003 5.003 60.00 60.00 60.00
Fractional coordinates of all 4 atoms:
Gd 0.000 0.000 0.000
Zr 0.500 0.500 0.500
Hg 0.750 0.750 0.750
Pt 0.250 0.250 0.250

## Properties
total DFT energy (no corrections): -31.151 eV for the cell shown
formation enthalpy at 0 K: -0.5449 eV/atom
M_tot: 7.8 μB per cell

***

Record 7
NaTiTcBr2 after structural relaxation. Source: Alexandria, functional PBE.

Lattice parameters (Å, degrees): 5.317 5.317 4.677 90.00 90.00 90.00
Fractional coordinates of all 5 atoms:
Na 0.000 0.000 0.000
Ti 0.500 0.500 0.500
Tc 0.500 0.500 0.000
Br 0.000 0.500 0.500
Br 0.500 0.000 0.500

## Properties
total DFT energy (no corrections): -22.341 eV for the cell shown
M_tot: 2.0 μB per cell
formation energy (no corrections): 117 meV per atom
relative energy among the computed polymorphs: 0.000 eV per atom

***

Record 8
K3Te4Pb2 after structural relaxation. Source: Alexandria, functional PBE.

Lattice parameters (Å, degrees): 8.989 8.989 7.681 103.38 103.38 35.97
Fractional coordinates of all 9 atoms:
K 0.000 0.000 0.000
K 0.129 0.129 0.570
K 0.871 0.871 0.430
Te 0.225 0.225 0.216
Te 0.497 0.497 0.287
Te 0.503 0.503 0.713
Te 0.775 0.775 0.784
Pb 0.342 0.342 0.958
Pb 0.658 0.658 0.042

## Properties
total DFT energy (no corrections): -29.334 eV for the cell shown
M_tot: 0.0 μB per cell
formation energy (no corrections): -673 meV per atom
relative energy among the computed polymorphs: 0.000 eV per atom

***

Number 1: volume 36.7 A^3/atom. Number 2: volume 31.5 A^3/atom. Number 3: volume 39.0 A^3/atom. Number 4: volume 19.5 A^3/atom. Number 5: volume 27.5 A^3/atom. Number 6: volume 22.1 A^3/atom. Number 7: volume 26.4 A^3/atom. Number 8: volume 39.3 A^3/atom.